No. 1
# KZrAlBr2 (PBE, relaxed)
# Total DFT energy (no corrections): -2.70 eV per atom
# Mass density: 2.758 g cm⁻³
# Formation energy from raw total energies: 646 meV per atom
# Volume: 38.19 A^3/atom
# Total magnetization: 2.7 μB/cell
data_KZrAlBr2
_space_group_name_H-M_alt 'P 4/m m m'
_space_group_IT_number 123
_space_group_name_Hall '-P 4 2'
_cell_length_a 5.6591
_cell_length_b 5.6591
_cell_length_c 5.9617
_cell_angle_alpha 90.00
_cell_angle_beta 90.00
_cell_angle_gamma 90.00
loop_
_atom_site_label
_atom_site_fract_x
_atom_site_fract_y
_atom_site_fract_z
K1 0.0000 0.0000 0.0000
Zr1 0.5000 0.5000 0.5000
Al1 0.0000 0.0000 0.5000
Br1 0.0000 0.5000 0.0000

No. 2
# GdGaPb2 (PBE, relaxed)
# Formation energy: -133 kJ/mol of formula units
# Total DFT energy (no corrections): -6.48 eV per atom
# Mass density: 10.083 g cm⁻³
# Excess energy over the best structure of this formula in the dataset: 0.000 eV/f.u.
# Volume: 26.41 A^3/atom
# Total magnetization: 7.0 μB/cell
data_GdGaPb2
_space_group_name_H-M_alt 'P 4/m m m'
_space_group_IT_number 123
_space_group_name_Hall '-P 4 2'
_cell_length_a 4.6796
_cell_length_b 4.6796
_cell_length_c 4.8233
_cell_angle_alpha 90.00
_cell_angle_beta 90.00
_cell_angle_gamma 90.00
loop_
_atom_site_label
_atom_site_fract_x
_atom_site_fract_y
_atom_site_fract_z
Gd1 0.0000 0.0000 0.0000
Ga1 0.5000 0.5000 0.0000
Pb1 0.0000 0.5000 0.5000

No. 3
# Cu2ReRu (PBE, relaxed)
# Formation energy: 151 kJ/mol of formula units
# Total DFT energy (no corrections): -7.09 eV per atom
# Mass density: 12.598 g cm⁻³
# Excess energy over the best structure of this formula in the dataset: 1.033 eV/f.u.
# Volume: 13.65 A^3/atom
# Total magnetization: 0.0 μB/cell
data_Cu2ReRu
_space_group_name_H-M_alt 'I m m m'
_space_group_IT_number 71
_space_group_name_Hall '-I 2 2'
_cell_length_a 2.7941
_cell_length_b 4.3629
_cell_length_c 8.9604
_cell_angle_alpha 90.00
_cell_angle_beta 90.00
_cell_angle_gamma 90.00
loop_
_atom_site_label
_atom_site_fract_x
_atom_site_fract_y
_atom_site_fract_z
Cu1 0.0000 0.0000 0.2494
Re1 0.0000 0.5000 0.5000
Ru1 0.0000 0.5000 0.0000

No. 4
# AcRe2O7F2 (PBE, relaxed)
# Total DFT energy (no corrections): -7.20 eV per atom
# Mass density: 7.896 g cm⁻³
# Formation energy from raw total energies: -1576 meV per atom
# Volume: 13.13 A^3/atom
# Total magnetization: 0.3 μB/cell
data_AcRe2O7F2
_space_group_name_H-M_alt 'I 4/m m m'
_space_group_IT_number 139
_space_group_name_Hall '-I 4 2'
_cell_length_a 3.9184
_cell_length_b 3.9184
_cell_length_c 20.5278
_cell_angle_alpha 90.00
_cell_angle_beta 90.00
_cell_angle_gamma 90.00
loop_
_atom_site_label
_atom_site_fract_x
_atom_site_fract_y
_atom_site_fract_z
Ac1 0.0000 0.0000 0.0000
Re1 0.0000 0.0000 0.3890
O1 0.0000 0.0000 0.3070
O2 0.0000 0.0000 0.5000
O3 0.0000 0.5000 0.0931
F1 0.0000 0.5000 0.2500

No. 5
# Fe3SnP (PBE, relaxed)
# Formation energy: 122 kJ/mol of formula units
# Total DFT energy (no corrections): -6.71 eV per atom
# Mass density: 7.498 g cm⁻³
# Excess energy over the best structure of this formula in the dataset: 0.000 eV/f.u.
# Volume: 14.05 A^3/atom
# Total magnetization: 0.0 μB/cell
data_Fe3SnP
_space_group_name_H-M_alt 'P m -3 m'
_space_group_IT_number 221
_space_group_name_Hall '-P 4 2 3'
_cell_length_a 4.1263
_cell_length_b 4.1263
_cell_length_c 4.1263
_cell_angle_alpha 90.00
_cell_angle_beta 90.00
_cell_angle_gamma 90.00
loop_
_atom_site_label
_atom_site_fract_x
_atom_site_fract_y
_atom_site_fract_z
Fe1 0.0000 0.0000 0.5000
Sn1 0.5000 0.5000 0.5000
P1 0.0000 0.0000 0.0000

No. 6
# Zr3MnCu (PBE, relaxed)
# Formation energy: 512 kJ/mol of formula units
# Total DFT energy (no corrections): -6.72 eV per atom
# Mass density: 5.796 g cm⁻³
# Excess energy over the best structure of this formula in the dataset: 2.731 eV/f.u.
# Volume: 22.47 A^3/atom
# Total magnetization: 0.2 μB/cell
data_Zr3MnCu
_space_group_name_H-M_alt 'P m -3 m'
_space_group_IT_number 221
_space_group_name_Hall '-P 4 2 3'
_cell_length_a 4.8253
_cell_length_b 4.8253
_cell_length_c 4.8253
_cell_angle_alpha 90.00
_cell_angle_beta 90.00
_cell_angle_gamma 90.00
loop_
_atom_site_label
_atom_site_fract_x
_atom_site_fract_y
_atom_site_fract_z
Zr1 0.0000 0.0000 0.5000
Mn1 0.5000 0.5000 0.5000
Cu1 0.0000 0.0000 0.0000

Question: The lowest total DFT energy (no corrections) belongs to which entry?
Answer: AcRe2O7F2